Entry 1:
A relaxed Y2Al2In crystal, computed with PBE-GGA.

Summary:
Energy relative to the elements = -48.3 kJ per mole of atoms
E = -25.66 eV per formula unit

Lattice parameters (Å, degrees): 3.558 4.478 7.641 107.04 90.00 90.00
Fractional coordinates of all 5 atoms:
Y 0.500 0.622 0.245
Y 0.500 0.378 0.755
Al 0.000 0.202 0.404
Al 0.000 0.798 0.596
In 0.000 0.000 0.000

***

Entry 2:
A relaxed CaLaGa crystal, computed with PBE-GGA.

Summary:
Energy relative to the elements = -34.9 kJ per mole of atoms
E = -11.04 eV per formula unit
ΔE to the lowest computed polymorph = 82 meV/atom

Lattice parameters (Å, degrees): 5.166 6.218 15.753 146.91 90.00 114.55
Fractional coordinates of all 6 atoms:
Ca 0.306 0.612 0.116
Ca 0.694 0.388 0.884
La 0.883 0.766 0.322
La 0.117 0.234 0.678
Ga 0.752 0.504 0.615
Ga 0.248 0.496 0.385

***

Entry 3:
A relaxed TaMoIrAu2 crystal, computed with PBE-GGA.

Summary:
Energy relative to the elements = 151.9 kJ per mole of atoms
E = -30.23 eV per formula unit

Lattice parameters (Å, degrees): 5.051 4.746 5.051 90.00 90.00 90.00
Fractional coordinates of all 5 atoms:
Mo 0.500 0.500 0.500
Ir 0.000 0.500 0.000
Au 0.000 0.000 0.500
Au 0.500 0.000 0.000
Ta 0.000 0.000 0.000

***

Entry 4:
A relaxed Zr2CoAgC crystal, computed with PBE-GGA.

Summary:
Energy relative to the elements = -25.2 kJ per mole of atoms
E = -37.58 eV per formula unit

Lattice parameters (Å, degrees): 4.635 4.635 3.717 90.00 90.00 90.00
Fractional coordinates of all 5 atoms:
C 0.000 0.000 0.000
Co 0.000 0.000 0.500
Zr 0.000 0.500 0.000
Zr 0.500 0.000 0.000
Ag 0.500 0.500 0.500

***

Entry 5:
A relaxed TiReTcSb crystal, computed with PBE-GGA.

Summary:
Energy relative to the elements, uncorrected = -163.5 meV/atom
E = -35.49 eV per formula unit

Lattice parameters (Å, degrees): 4.492 4.492 4.492 60.00 60.00 60.00
Fractional coordinates of all 4 atoms:
Re 0.500 0.500 0.500
Ti 0.250 0.250 0.250
Tc 0.000 0.000 0.000
Sb 0.750 0.750 0.750

***

Entry 6:
A relaxed Ru3Se crystal, computed with PBE-GGA.

Summary:
Energy relative to the elements, uncorrected = 291.1 meV/atom
E = -30.15 eV per formula unit

Lattice parameters (Å, degrees): 4.895 4.895 4.433 88.41 88.41 34.02
Fractional coordinates of all 4 atoms:
Ru 0.500 0.500 0.500
Ru 0.775 0.775 0.736
Ru 0.225 0.225 0.264
Se 0.000 0.000 0.000

***

Entry 7:
A relaxed Ca2BiSe3 crystal, computed with PBE-GGA.

Summary:
Energy relative to the elements, uncorrected = -1202.4 meV/atom
E = -25.55 eV per formula unit

Lattice parameters (Å, degrees): 4.667 5.993 7.387 113.93 90.00 90.00
Fractional coordinates of all 6 atoms:
Ca 0.500 0.356 0.711
Ca 0.500 0.644 0.289
Bi 0.000 0.000 0.000
Se 0.500 0.857 0.713
Se 0.500 0.143 0.287
Se 0.000 0.500 0.000

***

Entry 8:
A relaxed Mn2CdSi crystal, computed with PBE-GGA.

Summary:
Energy relative to the elements, uncorrected = 8.1 meV/atom
E = -24.64 eV per formula unit
ΔE to the lowest computed polymorph = 0 meV/atom

Lattice parameters (Å, degrees): 2.766 2.764 7.860 69.25 90.00 90.00
Fractional coordinates of all 4 atoms:
Cd 0.500 0.750 0.750
Mn 0.000 0.957 0.044
Mn 0.000 0.543 0.456
Si 0.500 0.250 0.250

***

Repeat the eighth record exactly.
A relaxed Mn2CdSi crystal, computed with PBE-GGA.

Summary:
Energy relative to the elements, uncorrected = 8.1 meV/atom
E = -24.64 eV per formula unit
ΔE to the lowest computed polymorph = 0 meV/atom

Lattice parameters (Å, degrees): 2.766 2.764 7.860 69.25 90.00 90.00
Fractional coordinates of all 4 atoms:
Cd 0.500 0.750 0.750
Mn 0.000 0.957 0.044
Mn 0.000 0.543 0.456
Si 0.500 0.250 0.250

***

- Look up the E of the sixth one.
  -30.15 eV per formula unit